Crystalline VSb2TeO at its relaxed geometry. Source: the Alexandria database, functional GGA+U.

Summary:
For the calculated volume, the calculation gives 22.33 Å³ per atom. The value obtained for the energy relative to the lowest polymorph listed for this composition is 0 meV/atom. The calculation puts the total energy at -4.3204 eV per atom.

Lattice parameters (Å, degrees): 4.597 4.597 5.285 90.00 90.00 90.00
Fractional positions:
O (0.000, 0.000, 0.000)
V (0.500, 0.500, 0.500)
Sb (0.000, 0.500, 0.000)
Sb (0.500, 0.000, 0.000)
Te (0.000, 0.000, 0.500)